# 1
Dy2Ho5Tm12: relaxed, PBE-GGA.

Computed properties:
- theoretical density (g/cm³) = 9.19
- DFT formation energy (eV per atom) = 0.03
- D(E_F) (states/eV per atom) = 1.39
- VASP energy (eV per cell) = -85.274
- distance to the lowest polymorph of the same formula (meV per atom) = 0

Lattice parameters (Å, degrees): 6.0557 10.4881 12.5949 133.84 94.75 84.41
With the nearest neighbours (Å) after each atom.
Fractional positions:
Ho  0.0000  0.0000  0.5000  10 Tm 3.49-3.50, 2 Ho 3.50
Tm  0.7895  0.4209  0.6581  5 Ho 3.49-3.50, 6 Tm 3.49-3.50, 1 Dy 3.50
Ho  0.7371  0.5263  0.4472  2 Ho 3.49-3.50, 8 Tm 3.49-3.50, 2 Dy 3.50
Dy  0.5793  0.8423  0.8159  9 Tm 3.49-3.50, 1 Dy 3.50, 2 Ho 3.50
Tm  0.0529  0.8949  0.7105  4 Ho 3.49-3.50, 2 Dy 3.49-3.50, 6 Tm 3.50
Ho  0.1582  0.6842  0.1317  10 Tm 3.49-3.50, 2 Ho 3.50
Ho  0.8418  0.3158  0.8683  10 Tm 3.49-3.50, 2 Ho 3.50
Tm  0.6316  0.7365  0.0263  7 Tm 3.49-3.50, 3 Ho 3.49-3.50, 2 Dy 3.50
Tm  0.6840  0.6317  0.2367  7 Tm 3.49-3.50, 5 Ho 3.49-3.50
Tm  0.3160  0.3683  0.7633  7 Tm 3.49-3.50, 5 Ho 3.49-3.50
Tm  0.1049  0.7894  0.9212  3 Dy 3.49-3.50, 2 Ho 3.49-3.50, 7 Tm 3.49-3.50
Ho  0.2629  0.4737  0.5528  2 Ho 3.49-3.50, 8 Tm 3.49-3.50, 2 Dy 3.50
Dy  0.4207  0.1577  0.1841  9 Tm 3.49-3.50, 1 Dy 3.50, 2 Ho 3.50
Tm  0.5259  0.9477  0.6051  7 Tm 3.48-3.50, 4 Ho 3.49-3.50, 1 Dy 3.50
Tm  0.9471  0.1051  0.2895  4 Ho 3.49-3.50, 2 Dy 3.49-3.50, 6 Tm 3.50
Tm  0.8951  0.2106  0.0788  3 Dy 3.49-3.50, 2 Ho 3.49-3.50, 7 Tm 3.49-3.50
Tm  0.4741  0.0523  0.3949  7 Tm 3.48-3.50, 4 Ho 3.49-3.50, 1 Dy 3.50
Tm  0.3684  0.2635  0.9737  7 Tm 3.49-3.50, 3 Ho 3.49-3.50, 2 Dy 3.50
Tm  0.2105  0.5791  0.3419  5 Ho 3.49-3.50, 6 Tm 3.49-3.50, 1 Dy 3.50

***

# 2
Dy3Ho8Tm4: relaxed, PBE-GGA.

Computed properties:
- theoretical density (g/cm³) = 8.54
- DFT formation energy (eV per atom) = 0.41
- D(E_F) (states/eV per atom) = 1.87
- VASP energy (eV per cell) = -62.094

Lattice parameters (Å, degrees): 6.6458 9.1528 9.1528 87.80 111.01 111.01
With the nearest neighbours (Å) after each atom.
Fractional positions:
Ho  0.0000  0.3583  0.6417  7 Ho 3.50-3.71, 2 Tm 3.57, 4 Dy 3.59-3.78
Ho  0.4433  0.7301  0.7301  4 Ho 3.18-3.50, 3 Dy 3.19-3.24, 1 Tm 3.39
Tm  0.0000  0.0000  0.5000  4 Ho 3.18-3.32, 2 Dy 3.32
Ho  0.0264  0.2605  0.2605  1 Dy 3.16, 4 Tm 3.18-3.48, 2 Ho 3.18-3.46
Dy  0.5000  0.5000  0.0000  4 Ho 3.19-3.30, 2 Tm 3.32
Dy  0.5000  0.0000  0.5000  4 Ho 3.19-3.30, 2 Tm 3.32
Ho  0.9736  0.7395  0.7395  1 Dy 3.16, 4 Tm 3.18-3.48, 2 Ho 3.18-3.46
Ho  0.5000  0.2502  0.7498  3 Dy 3.17-3.30, 3 Tm 3.18-3.32
Tm  0.0000  0.5000  0.0000  4 Ho 3.18-3.32, 2 Dy 3.32
Dy  0.5000  0.5000  0.5000  6 Ho 3.16-3.24
Tm  0.5000  0.0000  0.0000  6 Ho 3.18-3.48, 2 Tm 3.32
Ho  0.5000  0.7498  0.2502  3 Dy 3.17-3.30, 3 Tm 3.18-3.32
Ho  0.5567  0.2699  0.2699  4 Ho 3.18-3.50, 3 Dy 3.19-3.24, 1 Tm 3.39
Tm  0.0000  0.0000  0.0000  2 Tm 3.32, 4 Ho 3.35-3.64
Ho  0.0000  0.6417  0.3583  7 Ho 3.50-3.71, 2 Tm 3.57, 4 Dy 3.59-3.78

***

# 3
Dy4Ho3Tm2: relaxed, PBE-GGA.

Computed properties:
- theoretical density (g/cm³) = 8.88
- DFT formation energy (eV per atom) = 0.10
- D(E_F) (states/eV per atom) = 1.48
- VASP energy (eV per cell) = -80.333

Lattice parameters (Å, degrees): 6.0661 11.1278 11.1278 61.97 61.93 61.93
With the nearest neighbours (Å) after each atom.
Fractional positions:
Tm  0.5792  0.7601  0.4790  4 Dy 3.25-3.57, 4 Ho 3.33-3.45
Tm  0.0792  0.4790  0.7601  4 Dy 3.25-3.57, 4 Ho 3.33-3.45
Dy  0.0794  0.8118  0.0956  1 Tm 3.25, 4 Ho 3.35-3.47, 3 Dy 3.37-3.57
Dy  0.0782  0.1452  0.4308  1 Dy 3.25, 3 Tm 3.36-3.57, 4 Ho 3.36-3.44
Ho  0.2500  0.5968  0.4032  4 Tm 3.33-3.44, 4 Dy 3.43-3.44
Tm  0.4208  0.2399  0.5210  4 Dy 3.25-3.57, 4 Ho 3.33-3.45
Dy  0.4206  0.9044  0.1882  1 Tm 3.25, 4 Ho 3.35-3.47, 3 Dy 3.37-3.57
Ho  0.2557  0.9293  0.7359  6 Dy 3.35-3.47, 2 Tm 3.45
Dy  0.9206  0.1882  0.9044  1 Tm 3.25, 4 Ho 3.35-3.47, 3 Dy 3.37-3.57
Dy  0.9218  0.8548  0.5692  1 Dy 3.25, 3 Tm 3.36-3.57, 4 Ho 3.36-3.44
Ho  0.2443  0.2641  0.0707  6 Dy 3.35-3.47, 2 Tm 3.45
Dy  0.5782  0.4308  0.1452  1 Dy 3.25, 3 Tm 3.36-3.57, 4 Ho 3.36-3.44
Dy  0.5794  0.0956  0.8118  1 Tm 3.25, 4 Ho 3.35-3.47, 3 Dy 3.37-3.57
Dy  0.4218  0.5692  0.8548  1 Dy 3.25, 3 Tm 3.36-3.57, 4 Ho 3.36-3.44
Ho  0.7443  0.0707  0.2641  6 Dy 3.35-3.47, 2 Tm 3.45
Ho  0.7557  0.7359  0.9293  6 Dy 3.35-3.47, 2 Tm 3.45
Ho  0.7500  0.4032  0.5968  4 Tm 3.33-3.44, 4 Dy 3.43-3.44
Tm  0.9208  0.5210  0.2399  4 Dy 3.25-3.57, 4 Ho 3.33-3.45

***

# 4
Dy4Ho5Tm3: relaxed, PBE-GGA.

Computed properties:
- theoretical density (g/cm³) = 8.95
- DFT formation energy (eV per atom) = 0.02
- D(E_F) (states/eV per atom) = 1.30
- VASP energy (eV per cell) = -54.462
- distance to the lowest polymorph of the same formula (meV per atom) = 0

Lattice parameters (Å, degrees): 7.0302 11.1045 12.6596 151.29 56.34 129.27
With the nearest neighbours (Å) after each atom.
Fractional positions:
Ho  0.6667  0.3339  0.1670  5 Dy 3.50-3.52, 4 Tm 3.51, 3 Ho 3.51
Ho  0.7505  0.4993  0.9993  3 Tm 3.50-3.51, 6 Ho 3.51-3.52, 3 Dy 3.51-3.52
Dy  0.8334  0.6666  0.8334  5 Ho 3.51-3.52, 4 Dy 3.51-3.52, 3 Tm 3.51-3.52
Dy  0.0837  0.1667  0.3337  5 Ho 3.50-3.52, 4 Tm 3.51-3.52, 3 Dy 3.51-3.52
Tm  0.5826  0.1659  0.3330  5 Ho 3.50-3.51, 6 Dy 3.51-3.52, 1 Tm 3.51
Dy  0.1666  0.3334  0.1666  5 Ho 3.51-3.52, 4 Dy 3.51-3.52, 3 Tm 3.51-3.52
Dy  0.9163  0.8333  0.6663  5 Ho 3.50-3.52, 4 Tm 3.51-3.52, 3 Dy 3.51-3.52
Ho  0.2495  0.5007  0.0007  3 Tm 3.50-3.51, 6 Ho 3.51-3.52, 3 Dy 3.51-3.52
Tm  0.0000  0.0000  0.5000  2 Dy 3.51, 8 Ho 3.51-3.52, 2 Tm 3.51
Ho  0.5000  0.0000  0.5000  4 Ho 3.51-3.52, 4 Dy 3.51, 4 Tm 3.51-3.52
Ho  0.3333  0.6661  0.8330  5 Dy 3.50-3.52, 4 Tm 3.51, 3 Ho 3.51
Tm  0.4174  0.8341  0.6670  5 Ho 3.50-3.51, 6 Dy 3.51-3.52, 1 Tm 3.51

***

# 5
Dy7HoTm5: relaxed, PBE-GGA.

Computed properties:
- theoretical density (g/cm³) = 8.54
- DFT formation energy (eV per atom) = 0.26
- D(E_F) (states/eV per atom) = 2.03
- VASP energy (eV per cell) = -55.791

Lattice parameters (Å, degrees): 6.5917 8.6140 8.6140 80.48 67.50 67.50
With the nearest neighbours (Å) after each atom.
Fractional positions:
Tm  0.0036  0.0020  0.4591  2 Tm 3.09-3.39, 5 Dy 3.09-3.41
Dy  0.5763  0.4237  0.4237  7 Dy 3.51-3.87, 4 Tm 3.70
Tm  0.7699  0.7301  0.7301  6 Dy 3.30-3.43, 4 Tm 3.39
Ho  0.9606  0.0394  0.0394  7 Dy 3.50-3.87, 4 Tm 3.69
Dy  0.2693  0.2307  0.2307  4 Tm 3.09, 4 Dy 3.44
Dy  0.0187  0.3086  0.6541  5 Tm 3.41-3.42, 3 Dy 3.44-3.72, 1 Ho 3.70
Dy  0.5203  0.1518  0.8077  5 Tm 3.41-3.43, 4 Dy 3.44-3.72
Dy  0.2682  0.7318  0.7318  6 Tm 3.30-3.49, 1 Ho 3.50, 1 Dy 3.51
Dy  0.0187  0.6541  0.3086  5 Tm 3.41-3.42, 3 Dy 3.44-3.72, 1 Ho 3.70
Dy  0.5203  0.8077  0.1518  5 Tm 3.41-3.43, 4 Dy 3.44-3.72
Tm  0.5353  0.4591  0.0020  2 Tm 3.09-3.39, 5 Dy 3.09-3.41
Tm  0.5353  0.0020  0.4591  2 Tm 3.09-3.39, 5 Dy 3.09-3.41
Tm  0.0036  0.4591  0.0020  2 Tm 3.09-3.39, 5 Dy 3.09-3.41

***

# 6
Dy3Ho8Tm3: relaxed, PBE-GGA.

Computed properties:
- theoretical density (g/cm³) = 8.81
- DFT formation energy (eV per atom) = 0.12
- D(E_F) (states/eV per atom) = 1.44
- VASP energy (eV per cell) = -62.118
- distance to the lowest polymorph of the same formula (meV per atom) = 7

Lattice parameters (Å, degrees): 5.5441 9.5162 9.5162 101.75 73.06 73.06
With the nearest neighbours (Å) after each atom.
Fractional positions:
Ho  0.8411  0.7629  0.5550  5 Ho 3.07-3.39
Ho  0.3416  0.4358  0.8810  6 Ho 3.22-3.49, 2 Tm 3.54
Ho  0.6584  0.1190  0.5642  6 Ho 3.22-3.49, 2 Tm 3.54
Tm  0.5000  0.0000  0.0000  4 Dy 3.50, 4 Tm 3.86
Tm  0.0000  0.8178  0.1822  2 Dy 3.44, 8 Ho 3.54-3.69
Ho  0.1589  0.4450  0.2371  5 Ho 3.07-3.39
Dy  0.5000  0.5000  0.5000  2 Dy 3.19
Ho  0.3416  0.8810  0.4358  6 Ho 3.22-3.49, 2 Tm 3.54
Ho  0.1589  0.2371  0.4450  5 Ho 3.07-3.39
Dy  0.2009  0.7991  0.7991  1 Dy 3.19, 4 Tm 3.44-3.50, 4 Ho 3.50
Dy  0.7991  0.2009  0.2009  1 Dy 3.19, 4 Tm 3.44-3.50, 4 Ho 3.50
Tm  0.0000  0.1822  0.8178  2 Dy 3.44, 8 Ho 3.54-3.69
Ho  0.8411  0.5550  0.7629  5 Ho 3.07-3.39
Ho  0.6584  0.5642  0.1190  6 Ho 3.22-3.49, 2 Tm 3.54

***

# 7
Dy3HoTm2: relaxed, PBE-GGA.

Computed properties:
- theoretical density (g/cm³) = 8.92
- DFT formation energy (eV per atom) = 0.00
- D(E_F) (states/eV per atom) = 1.33
- VASP energy (eV per cell) = -54.669

Lattice parameters (Å, degrees): 7.0939 6.1384 9.4084 102.56 112.15 90.00
With the nearest neighbours (Å) after each atom.
Fractional positions:
Dy  0.2925  0.5282  0.3352  5 Dy 3.46-3.54, 6 Tm 3.47-3.55, 1 Ho 3.50
Dy  0.7075  0.4718  0.6648  5 Dy 3.46-3.54, 6 Tm 3.47-3.55, 1 Ho 3.50
Tm  0.5421  0.0286  0.3341  7 Dy 3.47-3.55, 3 Tm 3.48-3.54, 2 Ho 3.49
Dy  0.8742  0.2500  0.0000  2 Tm 3.49, 6 Dy 3.50-3.55, 4 Ho 3.54-3.56
Dy  0.9573  0.9718  0.6648  5 Dy 3.46-3.54, 6 Tm 3.47-3.55, 1 Ho 3.50
Ho  0.6244  0.7500  0.0000  4 Tm 3.49, 6 Dy 3.50-3.56, 2 Ho 3.54
Tm  0.4579  0.9714  0.6659  7 Dy 3.47-3.55, 3 Tm 3.48-3.54, 2 Ho 3.49
Tm  0.2080  0.4714  0.6659  7 Dy 3.47-3.55, 3 Tm 3.48-3.54, 2 Ho 3.49
Dy  0.1258  0.7500  0.0000  2 Tm 3.49, 6 Dy 3.50-3.55, 4 Ho 3.54-3.56
Tm  0.7920  0.5286  0.3341  7 Dy 3.47-3.55, 3 Tm 3.48-3.54, 2 Ho 3.49
Ho  0.3756  0.2500  0.0000  4 Tm 3.49, 6 Dy 3.50-3.56, 2 Ho 3.54
Dy  0.0427  0.0282  0.3352  5 Dy 3.46-3.54, 6 Tm 3.47-3.55, 1 Ho 3.50

***

# 8
Dy2Ho3Tm6: relaxed, PBE-GGA.

Computed properties:
- theoretical density (g/cm³) = 8.56
- DFT formation energy (eV per atom) = 0.29
- D(E_F) (states/eV per atom) = 1.59
- VASP energy (eV per cell) = -46.586
- distance to the lowest polymorph of the same formula (meV per atom) = 264

Lattice parameters (Å, degrees): 4.6586 4.6586 16.7064 98.01 98.01 90.00
With the nearest neighbours (Å) after each atom.
Fractional positions:
Ho  0.0000  0.0000  0.0000  8 Dy 3.63
Tm  0.3782  0.8782  0.7563  6 Tm 3.29-3.35, 2 Dy 3.40, 2 Ho 3.49
Tm  0.3046  0.3046  0.6093  5 Ho 3.30-3.39, 4 Tm 3.35
Ho  0.2011  0.2011  0.4021  9 Tm 3.30-3.49
Tm  0.1218  0.6218  0.2437  6 Tm 3.29-3.35, 2 Dy 3.40, 2 Ho 3.49
Dy  0.4537  0.4537  0.9074  1 Dy 3.03
Dy  0.5463  0.5463  0.0926  1 Dy 3.03
Ho  0.7989  0.7989  0.5979  9 Tm 3.30-3.49
Tm  0.6954  0.6954  0.3907  5 Ho 3.30-3.39, 4 Tm 3.35
Tm  0.6218  0.1218  0.2437  6 Tm 3.29-3.35, 2 Dy 3.40, 2 Ho 3.49
Tm  0.8782  0.3782  0.7563  6 Tm 3.29-3.35, 2 Dy 3.40, 2 Ho 3.49

***

# 9
Dy3Ho5Tm2: relaxed, PBE-GGA.

Computed properties:
- theoretical density (g/cm³) = 8.60
- DFT formation energy (eV per atom) = 0.20
- D(E_F) (states/eV per atom) = 1.79
- VASP energy (eV per cell) = -87.194
- distance to the lowest polymorph of the same formula (meV per atom) = 0

Lattice parameters (Å, degrees): 9.4133 9.3721 10.9844 125.73 125.81 68.46
With the nearest neighbours (Å) after each atom.
Fractional positions:
Dy  0.0181  0.7798  0.2521  1 Tm 3.16, 6 Ho 3.25-3.53, 1 Dy 3.46
Ho  0.3795  0.1267  0.7300  3 Dy 3.43-3.62, 2 Tm 3.43-3.58, 3 Ho 3.45-3.61
Dy  0.2660  0.5277  0.7479  1 Tm 3.16, 6 Ho 3.25-3.53, 1 Dy 3.46
Ho  0.4699  0.7199  0.4398  1 Ho 3.08, 4 Tm 3.28-3.42
Tm  0.5360  0.2729  0.2611  3 Dy 3.16-3.49, 4 Ho 3.28-3.43
Dy  0.7681  0.0181  0.0361  3 Ho 3.20-3.55, 4 Tm 3.27-3.49, 2 Dy 3.46
Tm  0.4640  0.7271  0.7389  3 Dy 3.16-3.49, 4 Ho 3.28-3.43
Tm  0.7749  0.0119  0.7389  3 Dy 3.16-3.49, 4 Ho 3.28-3.43
Ho  0.2719  0.5219  0.0439  1 Ho 3.08, 2 Dy 3.25
Ho  0.7281  0.4781  0.9561  1 Ho 3.08, 2 Dy 3.25
Ho  0.9739  0.2239  0.4478  5 Dy 3.20-3.38, 2 Tm 3.35, 2 Ho 3.45
Dy  0.7340  0.4723  0.2521  1 Tm 3.16, 6 Ho 3.25-3.53, 1 Dy 3.46
Dy  0.2319  0.9819  0.9639  3 Ho 3.20-3.55, 4 Tm 3.27-3.49, 2 Dy 3.46
Ho  0.1496  0.3968  0.2700  3 Dy 3.43-3.62, 2 Tm 3.43-3.58, 3 Ho 3.45-3.61
Ho  0.8504  0.6032  0.7300  3 Dy 3.43-3.62, 2 Tm 3.43-3.58, 3 Ho 3.45-3.61
Dy  0.9819  0.2202  0.7479  1 Tm 3.16, 6 Ho 3.25-3.53, 1 Dy 3.46
Tm  0.2251  0.9881  0.2611  3 Dy 3.16-3.49, 4 Ho 3.28-3.43
Ho  0.0261  0.7761  0.5522  5 Dy 3.20-3.38, 2 Tm 3.35, 2 Ho 3.45
Ho  0.5301  0.2801  0.5602  1 Ho 3.08, 4 Tm 3.28-3.42
Ho  0.6205  0.8733  0.2700  3 Dy 3.43-3.62, 2 Tm 3.43-3.58, 3 Ho 3.45-3.61

***

# 10
Dy8HoTm3: relaxed, PBE-GGA.

Computed properties:
- theoretical density (g/cm³) = 7.42
- DFT formation energy (eV per atom) = 0.72
- D(E_F) (states/eV per atom) = 1.09
- VASP energy (eV per cell) = -46.179

Lattice parameters (Å, degrees): 7.6139 7.6139 9.3215 114.10 114.10 90.00
With the nearest neighbours (Å) after each atom.
Fractional positions:
Dy  0.1252  0.1252  0.7498  3 Tm 3.29-3.30, 1 Ho 3.30
Dy  0.8748  0.8748  0.2502  3 Tm 3.29-3.30, 1 Ho 3.30
Tm  0.5000  0.5000  0.0000  8 Dy 3.29
Dy  0.8748  0.3754  0.2502  3 Tm 3.29-3.30, 1 Ho 3.30
Dy  0.6246  0.6246  0.7498  3 Tm 3.29-3.30, 1 Ho 3.30
Tm  0.7500  0.2500  0.5000  8 Dy 3.30
Dy  0.3754  0.8748  0.2502  3 Tm 3.29-3.30, 1 Ho 3.30
Dy  0.6246  0.1252  0.7498  3 Tm 3.29-3.30, 1 Ho 3.30
Tm  0.2500  0.7500  0.5000  8 Dy 3.30
Ho  0.0000  0.0000  0.0000  8 Dy 3.30
Dy  0.3754  0.3754  0.2502  3 Tm 3.29-3.30, 1 Ho 3.30
Dy  0.1252  0.6246  0.7498  3 Tm 3.29-3.30, 1 Ho 3.30

***

# 11
Dy2Ho6Tm: relaxed, PBE-GGA.

Computed properties:
- theoretical density (g/cm³) = 8.91
- DFT formation energy (eV per atom) = 0.02
- D(E_F) (states/eV per atom) = 1.25
- VASP energy (eV per cell) = -81.904

Lattice parameters (Å, degrees): 4.9745 10.5434 10.5434 90.00 90.00 90.00
With the nearest neighbours (Å) after each atom.
Fractional positions:
Ho  0.0000  0.6668  0.5002  1 Tm 3.51, 8 Ho 3.51-3.52, 3 Dy 3.51-3.52
Dy  0.5000  0.1663  0.3336  10 Ho 3.51-3.52, 2 Tm 3.51
Ho  0.4999  0.1665  0.6666  4 Dy 3.51-3.52, 6 Ho 3.51-3.52, 2 Tm 3.51-3.52
Dy  0.0000  0.3337  0.8336  10 Ho 3.51-3.52, 2 Tm 3.51
Tm  0.0000  0.0000  0.5000  4 Dy 3.51, 8 Ho 3.51-3.52
Tm  0.5000  0.5000  0.0000  4 Dy 3.51, 8 Ho 3.51-3.52
Ho  0.5001  0.8335  0.3334  4 Dy 3.51-3.52, 6 Ho 3.51-3.52, 2 Tm 3.51-3.52
Ho  0.0000  0.3332  0.4998  1 Tm 3.51, 8 Ho 3.51-3.52, 3 Dy 3.51-3.52
Ho  0.4999  0.5002  0.3332  1 Tm 3.51, 3 Dy 3.51-3.52, 8 Ho 3.51-3.52
Ho  0.9999  0.9998  0.8332  1 Tm 3.51, 3 Dy 3.51-3.52, 8 Ho 3.51-3.52
Ho  0.5000  0.1668  0.9998  1 Tm 3.51, 8 Ho 3.51-3.52, 3 Dy 3.51-3.52
Ho  0.0001  0.6665  0.8334  4 Dy 3.51-3.52, 6 Ho 3.51-3.52, 2 Tm 3.51-3.52
Ho  0.5001  0.4998  0.6668  1 Tm 3.51, 3 Dy 3.51-3.52, 8 Ho 3.51-3.52
Ho  0.9999  0.3335  0.1666  4 Dy 3.51-3.52, 6 Ho 3.51-3.52, 2 Tm 3.51-3.52
Ho  0.5000  0.8332  0.0002  1 Tm 3.51, 8 Ho 3.51-3.52, 3 Dy 3.51-3.52
Ho  0.0001  0.0002  0.1668  1 Tm 3.51, 3 Dy 3.51-3.52, 8 Ho 3.51-3.52
Dy  0.5000  0.8337  0.6664  10 Ho 3.51-3.52, 2 Tm 3.51
Dy  0.0000  0.6663  0.1664  10 Ho 3.51-3.52, 2 Tm 3.51

***

# 12
Dy2HoTm2: relaxed, PBE-GGA.

Computed properties:
- theoretical density (g/cm³) = 8.88
- DFT formation energy (eV per atom) = 0.09
- D(E_F) (states/eV per atom) = 0.76
- VASP energy (eV per cell) = -44.537
- distance to the lowest polymorph of the same formula (meV per atom) = 69

Lattice parameters (Å, degrees): 9.1693 9.1693 3.6831 90.00 90.00 90.00
With the nearest neighbours (Å) after each atom.
Fractional positions:
Ho  0.0000  0.0000  0.0000  4 Dy 3.61, 2 Ho 3.68, 8 Tm 3.87
Dy  0.8721  0.3721  0.0000  6 Tm 3.20-3.32, 1 Dy 3.32
Tm  0.8297  0.6703  0.5000  6 Dy 3.20-3.32
Tm  0.6703  0.1703  0.5000  6 Dy 3.20-3.32
Tm  0.1703  0.3297  0.5000  6 Dy 3.20-3.32
Dy  0.3721  0.1279  0.0000  6 Tm 3.20-3.32, 1 Dy 3.32
Dy  0.1279  0.6279  0.0000  6 Tm 3.20-3.32, 1 Dy 3.32
Dy  0.6279  0.8721  0.0000  6 Tm 3.20-3.32, 1 Dy 3.32
Tm  0.3297  0.8297  0.5000  6 Dy 3.20-3.32
Ho  0.5000  0.5000  0.0000  4 Dy 3.61, 2 Ho 3.68, 8 Tm 3.87